VASP calculation (GGA-PBEsol) on an optimized crystal structure of Rb2NaTmCl6.

Cell: 7.4244 7.4244 7.4244 Å, 60.00 60.00 60.00°
Fractional positions:
Na (0.5000, 0.5000, 0.5000)
Cl (0.2438, 0.7562, 0.7562)
Tm (0.0000, 0.0000, 0.0000)
Rb (0.2500, 0.2500, 0.2500)
Cl (0.7562, 0.2438, 0.7562)
Cl (0.7562, 0.7562, 0.2438)
Cl (0.2438, 0.2438, 0.7562)
Cl (0.7562, 0.2438, 0.2438)
Rb (0.7500, 0.7500, 0.7500)
Cl (0.2438, 0.7562, 0.2438)

Summary:
- formation energy without anion corrections (meV per atom) = -2092
- total moment (μB per atom) = 0.000
- energy (eV per formula unit) = -41.3
- volume (Å³ per atom) = 28.94



VASP calculation (GGA-PBEsol) on an optimized crystal structure of KCaPb2.

Cell: 5.6597 5.6597 5.6597 Å, 60.00 60.00 60.00°
Fractional positions:
Ca (0.5000, 0.5000, 0.5000)
K (0.2500, 0.2500, 0.2500)
Pb (0.7500, 0.7500, 0.7500)
Pb (0.0000, 0.0000, 0.0000)

Summary:
- total moment (μB per atom) = 0.000
- energy (eV per formula unit) = -11.9
- volume (Å³ per atom) = 32.05



VASP calculation (GGA-PBEsol) on an optimized crystal structure of TaSb2Mo.

Cell: 3.4850 4.6608 5.5261 Å, 114.94 108.38 90.00°
Fractional positions:
Sb (0.7609, 0.2609, 0.5219)
Ta (0.5121, 0.5121, 0.0243)
Sb (0.9829, 0.9829, 0.9659)
Mo (0.2440, 0.7440, 0.4880)

Summary:
- formation energy without anion corrections (meV per atom) = 303
- total moment (μB per atom) = 0.000
- energy (eV per formula unit) = -32.2
- volume (Å³ per atom) = 19.08



Copy entry 1 word for word.
VASP calculation (GGA-PBEsol) on an optimized crystal structure of Rb2NaTmCl6.

Cell: 7.4244 7.4244 7.4244 Å, 60.00 60.00 60.00°
Fractional positions:
Na (0.5000, 0.5000, 0.5000)
Cl (0.2438, 0.7562, 0.7562)
Tm (0.0000, 0.0000, 0.0000)
Rb (0.2500, 0.2500, 0.2500)
Cl (0.7562, 0.2438, 0.7562)
Cl (0.7562, 0.7562, 0.2438)
Cl (0.2438, 0.2438, 0.7562)
Cl (0.7562, 0.2438, 0.2438)
Rb (0.7500, 0.7500, 0.7500)
Cl (0.2438, 0.7562, 0.2438)

Summary:
- formation energy without anion corrections (meV per atom) = -2092
- total moment (μB per atom) = 0.000
- energy (eV per formula unit) = -41.3
- volume (Å³ per atom) = 28.94



> Look up the energy of the third one.

-32.2 eV per formula unit



> Number 3 is which compound?

TaSb2Mo



> What is the volume in the first record?

28.94 Å³ per atom